# 1
Density functional theory data (PBE) for TaTl after structural relaxation.

The structure belongs to space group P-3m1 (No. 164); the cell edges are 3.2783, 3.2783 and 9.8681 Å and the angles 90.00°, 90.00° and 120.00°. The inequivalent atoms are Ta at (0.3333, 0.6667, 0.0975) and Tl at (0.3333, 0.6667, 0.6423).

The calculation puts the excess energy over the best structure of this formula in the dataset at 20.4 meV/atom.

---

# 2
Density functional theory data (PBE) for Li2NdErTe4 after structural relaxation.

The structure belongs to space group P2/m (No. 10); the cell edges are 7.511, 4.391 and 7.604 Å and the angles 90.00°, 109.62° and 90.00°. The inequivalent atoms are Li at (0.000, 0.000, 0.000), Li at (0.000, 0.500, 0.500), Nd at (0.500, 0.000, 0.500), Er at (0.500, 0.500, 0.000), Te at (0.240, 0.500, 0.239) and Te at (0.245, 0.000, 0.757).

---

# 3
Density functional theory data (PBE) for Hg5Sb2Br2 after structural relaxation.

The structure belongs to space group P-1 (No. 2); the cell edges are 5.993, 7.168 and 7.371 Å and the angles 96.22°, 113.84° and 90.09°. The inequivalent atoms are Hg at (0.000, 0.000, 0.000), Hg at (0.201, 0.775, 0.404), Hg at (0.403, 0.586, 0.806), Sb at (0.091, 0.414, 0.182) and Br at (0.344, 0.085, 0.688).

---

Asked for electronic total energy across the records above, the calculation gives -6.630, -4.500, -1.604 eV per atom in order.
Asked for V across the records above, the calculation gives 45.9, 236.2, 287.6 Å³/f.u. in order.